[1]
Material: Hf3Ti3In
Method: DFT, GGA-PBE
State: optimized geometry

Results
- formation energy from the elements (meV/atom) = -24
- energy above the lowest structure with this stoichiometry (eV per atom) = 0.000
- calculated total energy (eV/atom) = -8.06

a b c (Å): 8.078 8.078 4.976
angles (deg): 90.00 90.00 120.00
Element x y z (fractional)
Hf: 0.102 0.644 0.250
Hf: 0.356 0.457 0.250
Hf: 0.457 0.102 0.750
Hf: 0.543 0.898 0.250
Hf: 0.644 0.543 0.750
Hf: 0.898 0.356 0.750
Ti: 0.051 0.831 0.750
Ti: 0.169 0.220 0.750
Ti: 0.220 0.051 0.250
Ti: 0.780 0.949 0.750
Ti: 0.831 0.780 0.250
Ti: 0.949 0.169 0.250
In: 0.333 0.667 0.750
In: 0.667 0.333 0.250

***

[2]
Material: Hf3Ti2In3
Method: DFT, GGA-PBE
State: optimized geometry

Results
- formation energy from the elements (meV/atom) = -134
- energy above the lowest structure with this stoichiometry (eV per atom) = 0.000
- calculated total energy (eV/atom) = -6.87

a b c (Å): 9.584 9.584 9.584
angles (deg): 154.71 153.94 36.63
Element x y z (fractional)
Hf: 0.000 0.000 0.000
Hf: 0.372 0.872 0.500
Hf: 0.628 0.128 0.500
Ti: 0.249 0.249 0.000
Ti: 0.751 0.751 0.000
In: 0.133 0.633 0.500
In: 0.500 0.500 0.000
In: 0.867 0.367 0.500

***

[3]
Material: HfTi2In3
Method: DFT, GGA-PBE
State: optimized geometry

Results
- formation energy from the elements (meV/atom) = -14
- energy above the lowest structure with this stoichiometry (eV per atom) = 0.046
- calculated total energy (eV/atom) = -5.67

a b c (Å): 3.646 3.646 9.160
angles (deg): 90.00 90.00 90.00
Element x y z (fractional)
Hf: 0.000 0.000 0.000
Ti: 0.000 0.000 0.341
Ti: 0.000 0.000 0.659
In: 0.500 0.500 0.177
In: 0.500 0.500 0.500
In: 0.500 0.500 0.823

***

[4]
Material: HfTiIn3
Method: DFT, GGA-PBE
State: optimized geometry

Results
- formation energy from the elements (meV/atom) = 141
- energy above the lowest structure with this stoichiometry (eV per atom) = 0.000
- calculated total energy (eV/atom) = -5.07

a b c (Å): 7.817 6.261 9.115
angles (deg): 90.00 90.00 90.00
Element x y z (fractional)
Hf: 0.000 0.000 0.000
Hf: 0.000 0.500 0.000
Hf: 0.500 0.000 0.500
Hf: 0.500 0.500 0.500
Ti: 0.214 0.250 0.357
Ti: 0.286 0.750 0.857
Ti: 0.714 0.250 0.143
Ti: 0.786 0.750 0.643
In: 0.126 0.512 0.626
In: 0.126 0.988 0.626
In: 0.197 0.750 0.336
In: 0.303 0.250 0.836
In: 0.374 0.012 0.126
In: 0.374 0.488 0.126
In: 0.626 0.512 0.874
In: 0.626 0.988 0.874
In: 0.697 0.750 0.164
In: 0.803 0.250 0.664
In: 0.874 0.012 0.374
In: 0.874 0.488 0.374

***

[5]
Material: Hf3Ti2In3
Method: DFT, GGA-PBE
State: optimized geometry

Results
- formation energy from the elements (meV/atom) = -103
- energy above the lowest structure with this stoichiometry (eV per atom) = 0.031
- calculated total energy (eV/atom) = -6.84

a b c (Å): 4.256 4.323 8.944
angles (deg): 90.00 90.00 90.00
Element x y z (fractional)
Hf: 0.000 0.000 0.000
Hf: 0.000 0.000 0.500
Hf: 0.500 0.500 0.000
Ti: 0.000 0.500 0.254
Ti: 0.000 0.500 0.746
In: 0.500 0.000 0.247
In: 0.500 0.000 0.753
In: 0.500 0.500 0.500

***

[6]
Material: Hf4Ti2In3
Method: DFT, GGA-PBE
State: optimized geometry

Results
- formation energy from the elements (meV/atom) = -120
- calculated total energy (eV/atom) = -7.21

a b c (Å): 7.235 7.235 7.015
angles (deg): 107.92 107.92 32.68
Element x y z (fractional)
Hf: 0.056 0.056 0.332
Hf: 0.276 0.276 0.672
Hf: 0.724 0.724 0.328
Hf: 0.944 0.944 0.668
Ti: 0.171 0.171 0.001
Ti: 0.829 0.829 0.999
In: 0.383 0.383 0.323
In: 0.500 0.500 0.000
In: 0.617 0.617 0.677

***

[7]
Material: Hf3Ti3In
Method: DFT, GGA-PBE
State: optimized geometry

Results
- formation energy from the elements (meV/atom) = 3
- energy above the lowest structure with this stoichiometry (eV per atom) = 0.027
- calculated total energy (eV/atom) = -8.04

a b c (Å): 8.211 8.211 4.828
angles (deg): 90.00 90.00 120.00
Element x y z (fractional)
Hf: 0.078 0.256 0.250
Hf: 0.178 0.922 0.250
Hf: 0.256 0.178 0.750
Hf: 0.744 0.822 0.250
Hf: 0.822 0.078 0.750
Hf: 0.922 0.744 0.750
Ti: 0.097 0.498 0.750
Ti: 0.402 0.903 0.750
Ti: 0.498 0.402 0.250
Ti: 0.502 0.598 0.750
Ti: 0.598 0.097 0.250
Ti: 0.903 0.502 0.250
In: 0.333 0.667 0.250
In: 0.667 0.333 0.750

***

[8]
Material: HfTi2In2
Method: DFT, GGA-PBE
State: optimized geometry

Results
- formation energy from the elements (meV/atom) = -9
- energy above the lowest structure with this stoichiometry (eV per atom) = 0.000
- calculated total energy (eV/atom) = -6.25

a b c (Å): 7.799 7.799 3.350
angles (deg): 90.00 90.00 90.00
Element x y z (fractional)
Hf: 0.000 0.000 0.000
Hf: 0.500 0.500 0.000
Ti: 0.174 0.326 0.500
Ti: 0.326 0.826 0.500
Ti: 0.674 0.174 0.500
Ti: 0.826 0.674 0.500
In: 0.129 0.629 0.000
In: 0.371 0.129 0.000
In: 0.629 0.871 0.000
In: 0.871 0.371 0.000

***

[9]
Material: HfTi5In3
Method: DFT, GGA-PBE
State: optimized geometry

Results
- formation energy from the elements (meV/atom) = 300
- calculated total energy (eV/atom) = -6.10

a b c (Å): 8.529 8.529 8.529
angles (deg): 129.22 129.22 74.66
Element x y z (fractional)
Hf: 0.250 0.750 0.500
Hf: 0.750 0.250 0.500
Ti: 0.000 0.000 0.000
Ti: 0.069 0.569 0.926
Ti: 0.143 0.069 0.500
Ti: 0.357 0.857 0.926
Ti: 0.431 0.357 0.500
Ti: 0.500 0.500 0.000
Ti: 0.569 0.643 0.500
Ti: 0.643 0.143 0.074
Ti: 0.857 0.931 0.500
Ti: 0.931 0.431 0.074
In: 0.123 0.377 0.500
In: 0.250 0.250 0.000
In: 0.377 0.877 0.253
In: 0.623 0.123 0.747
In: 0.750 0.750 0.000
In: 0.877 0.623 0.500

***

[10]
Material: Hf9TiIn2
Method: DFT, GGA-PBE
State: optimized geometry

Results
- formation energy from the elements (meV/atom) = -73
- calculated total energy (eV/atom) = -8.65

a b c (Å): 4.415 4.415 13.281
angles (deg): 90.00 90.00 90.00
Element x y z (fractional)
Hf: 0.000 0.000 0.000
Hf: 0.000 0.000 0.335
Hf: 0.000 0.000 0.665
Hf: 0.000 0.500 0.162
Hf: 0.000 0.500 0.500
Hf: 0.000 0.500 0.838
Hf: 0.500 0.000 0.162
Hf: 0.500 0.000 0.500
Hf: 0.500 0.000 0.838
Ti: 0.500 0.500 0.000
In: 0.500 0.500 0.332
In: 0.500 0.500 0.668

***

[11]
Material: HfTi2VIn
Method: DFT, GGA-PBE
State: optimized geometry

Results
- formation energy from the elements (meV/atom) = 559
- calculated total energy (eV/atom) = -6.96

a b c (Å): 4.536 4.536 5.034
angles (deg): 90.00 90.00 90.00
Element x y z (fractional)
Hf: 0.000 0.000 0.000
Ti: 0.000 0.500 0.500
Ti: 0.500 0.000 0.500
V: 0.000 0.000 0.500
In: 0.500 0.500 0.000

***

[12]
Material: HfTiInW
Method: DFT, GGA-PBE
State: optimized geometry

Results
- formation energy from the elements (meV/atom) = 7
- calculated total energy (eV/atom) = -8.38

a b c (Å): 4.726 4.726 4.726
angles (deg): 60.00 60.00 60.00
Element x y z (fractional)
Hf: 0.000 0.000 0.000
Ti: 0.500 0.500 0.500
In: 0.250 0.250 0.250
W: 0.750 0.750 0.750

***

[13]
Material: HfTiZnIn
Method: DFT, GGA-PBE
State: optimized geometry

Results
- formation energy from the elements (meV/atom) = -145
- calculated total energy (eV/atom) = -5.61

a b c (Å): 2.987 2.987 8.369
angles (deg): 90.00 90.00 90.00
Element x y z (fractional)
Hf: 0.000 0.000 0.000
Ti: 0.000 0.000 0.547
Zn: 0.500 0.500 0.763
In: 0.500 0.500 0.284

***

[14]
Material: HfZrTiIn
Method: DFT, GGA-PBE
State: optimized geometry

Results
- formation energy from the elements (meV/atom) = -129
- calculated total energy (eV/atom) = -7.41

a b c (Å): 4.285 4.285 9.134
angles (deg): 90.00 90.00 90.00
Element x y z (fractional)
Hf: 0.250 0.750 0.000
Hf: 0.750 0.250 0.000
Zr: 0.250 0.250 0.259
Zr: 0.750 0.750 0.741
Ti: 0.250 0.750 0.500
Ti: 0.750 0.250 0.500
In: 0.250 0.250 0.737
In: 0.750 0.750 0.263

***

[15]
Material: Hf12Tl3In
Method: DFT, GGA-PBE
State: optimized geometry

Results
- formation energy from the elements (meV/atom) = -24
- calculated total energy (eV/atom) = -8.10

a b c (Å): 4.442 4.442 17.722
angles (deg): 90.00 90.00 90.00
Element x y z (fractional)
Hf: 0.000 0.000 0.000
Hf: 0.000 0.000 0.250
Hf: 0.000 0.000 0.500
Hf: 0.000 0.000 0.750
Hf: 0.000 0.500 0.124
Hf: 0.000 0.500 0.375
Hf: 0.000 0.500 0.625
Hf: 0.000 0.500 0.876
Hf: 0.500 0.000 0.124
Hf: 0.500 0.000 0.375
Hf: 0.500 0.000 0.625
Hf: 0.500 0.000 0.876
Tl: 0.500 0.500 0.250
Tl: 0.500 0.500 0.500
Tl: 0.500 0.500 0.750
In: 0.500 0.500 0.000

***

[16]
Material: Hf2TlIn2
Method: DFT, GGA-PBE
State: optimized geometry

Results
- formation energy from the elements (meV/atom) = 113
- energy above the lowest structure with this stoichiometry (eV per atom) = 0.000
- calculated total energy (eV/atom) = -5.44

a b c (Å): 8.468 8.468 3.395
angles (deg): 90.00 90.00 90.00
Element x y z (fractional)
Hf: 0.125 0.375 0.000
Hf: 0.375 0.875 0.000
Hf: 0.625 0.125 0.000
Hf: 0.875 0.625 0.000
Tl: 0.000 0.000 0.000
Tl: 0.500 0.500 0.000
In: 0.173 0.673 0.500
In: 0.327 0.173 0.500
In: 0.673 0.827 0.500
In: 0.827 0.327 0.500

***

[17]
Material: Hf2TlIn
Method: DFT, GGA-PBE
State: optimized geometry

Results
- formation energy from the elements (meV/atom) = 317
- energy above the lowest structure with this stoichiometry (eV per atom) = 0.334
- calculated total energy (eV/atom) = -5.94

a b c (Å): 6.394 6.394 6.394
angles (deg): 103.19 103.19 122.94
Element x y z (fractional)
Hf: 0.124 0.625 0.999
Hf: 0.375 0.374 0.499
Hf: 0.626 0.125 0.001
Hf: 0.875 0.876 0.501
Tl: 0.000 0.000 0.000
Tl: 0.750 0.250 0.500
In: 0.250 0.750 0.500
In: 0.500 0.500 0.000

***

[18]
Material: Hf8Tl2In
Method: DFT, GGA-PBE
State: optimized geometry

Results
- formation energy from the elements (meV/atom) = 198
- calculated total energy (eV/atom) = -7.72

a b c (Å): 7.906 7.906 5.313
angles (deg): 102.50 102.50 121.03
Element x y z (fractional)
Hf: 0.098 0.318 0.666
Hf: 0.217 0.783 0.000
Hf: 0.318 0.098 0.666
Hf: 0.416 0.416 0.204
Hf: 0.584 0.584 0.796
Hf: 0.682 0.902 0.334
Hf: 0.783 0.217 0.000
Hf: 0.902 0.682 0.334
Tl: 0.306 0.694 0.500
Tl: 0.694 0.306 0.500
In: 0.000 0.000 0.000

***

[19]
Material: Hf2TlIn
Method: DFT, GGA-PBE
State: optimized geometry

Results
- formation energy from the elements (meV/atom) = 172
- energy above the lowest structure with this stoichiometry (eV per atom) = 0.189
- calculated total energy (eV/atom) = -6.08

a b c (Å): 5.020 5.020 5.020
angles (deg): 60.00 60.00 60.00
Element x y z (fractional)
Hf: 0.250 0.250 0.250
Hf: 0.750 0.750 0.750
Tl: 0.000 0.000 0.000
In: 0.500 0.500 0.500

***

[20]
Material: Hf9TlIn2
Method: DFT, GGA-PBE
State: optimized geometry

Results
- formation energy from the elements (meV/atom) = -88
- calculated total energy (eV/atom) = -8.21

a b c (Å): 4.432 4.432 13.302
angles (deg): 90.00 90.00 90.00
Element x y z (fractional)
Hf: 0.000 0.000 0.000
Hf: 0.000 0.000 0.334
Hf: 0.000 0.000 0.666
Hf: 0.000 0.500 0.168
Hf: 0.000 0.500 0.500
Hf: 0.000 0.500 0.832
Hf: 0.500 0.000 0.168
Hf: 0.500 0.000 0.500
Hf: 0.500 0.000 0.832
Tl: 0.500 0.500 0.000
In: 0.500 0.500 0.334
In: 0.500 0.500 0.666

***

[21]
Material: Hf4TlIn3
Method: DFT, GGA-PBE
State: optimized geometry

Results
- formation energy from the elements (meV/atom) = -24
- calculated total energy (eV/atom) = -6.32

a b c (Å): 8.835 6.399 6.321
angles (deg): 90.00 90.00 90.00
Element x y z (fractional)
Hf: 0.000 0.000 0.000
Hf: 0.000 0.500 0.000
Hf: 0.250 0.250 0.250
Hf: 0.250 0.750 0.750
Hf: 0.500 0.000 0.500
Hf: 0.500 0.500 0.500
Hf: 0.750 0.250 0.250
Hf: 0.750 0.750 0.750
Tl: 0.000 0.000 0.500
Tl: 0.500 0.000 0.000
In: 0.000 0.500 0.500
In: 0.250 0.253 0.750
In: 0.250 0.747 0.250
In: 0.500 0.500 0.000
In: 0.750 0.253 0.750
In: 0.750 0.747 0.250

***

[22]
Material: Hf4TlIn
Method: DFT, GGA-PBE
State: optimized geometry

Results
- formation energy from the elements (meV/atom) = 8
- energy above the lowest structure with this stoichiometry (eV per atom) = 0.086
- calculated total energy (eV/atom) = -7.48

a b c (Å): 5.005 6.103 8.821
angles (deg): 90.00 90.00 90.00
Element x y z (fractional)
Hf: 0.250 0.007 0.243
Hf: 0.250 0.493 0.243
Hf: 0.250 0.750 0.593
Hf: 0.250 0.750 0.922
Hf: 0.750 0.250 0.078
Hf: 0.750 0.250 0.407
Hf: 0.750 0.507 0.757
Hf: 0.750 0.993 0.757
Tl: 0.250 0.250 0.576
Tl: 0.750 0.750 0.424
In: 0.250 0.250 0.910
In: 0.750 0.750 0.090